[1]
A PBEsol-optimized structure of K2MnW, computed with meta-GGA SCAN.

The structure in POSCAR format:
```
K2MnW
1.0
-0.345 0.070 -2.745
4.452 -2.281 -0.393
-4.801 -4.295 1.776
K Mn W
2 1 1
direct
0.000 0.000 0.500
0.500 0.500 0.500
0.500 0.000 0.000
0.000 0.500 0.000
```

E above lowest polymorph (meV/atom): 524.5
Symmetry: C2/m, No. 12
Energy of formation (eV per formula unit): 5.560
Crystal system: monoclinic


[2]
A PBEsol-optimized structure of YOs3I, computed with meta-GGA SCAN.

The structure in POSCAR format:
```
YOs3I
1.0
-4.786 -0.217 -1.188
-0.994 -2.051 4.379
-0.687 4.485 1.945
I Y Os
1 1 3
direct
0.500 0.500 0.500
0.000 0.000 0.000
0.000 0.500 0.000
0.000 0.000 0.500
0.500 0.000 0.000
```

Raw formation energy (meV/atom): 3160
Symmetry: Pm-3m, No. 221
Crystal system: cubic


[3]
A PBEsol-optimized structure of CaDyHg2, computed with meta-GGA SCAN.

The structure in POSCAR format:
```
CaDyHg2
1.0
5.185 0.000 0.000
2.592 4.490 0.000
2.592 1.497 4.233
Ca Hg Dy
1 2 1
direct
0.000 0.000 0.000
0.750 0.750 0.750
0.250 0.250 0.250
0.500 0.500 0.500
```

Symmetry: Fm-3m, No. 225
Energy of formation (eV per formula unit): -2.922
Crystal system: cubic


[4]
A PBEsol-optimized structure of Lu2InHg, computed with meta-GGA SCAN.

The structure in POSCAR format:
```
Lu2InHg
1.0
5.103 0.000 0.000
2.551 4.419 0.000
2.551 1.473 4.167
Lu Hg In
2 1 1
direct
0.250 0.250 0.250
0.750 0.750 0.750
0.500 0.500 0.500
0.000 0.000 0.000
```

Symmetry: Fm-3m, No. 225
Energy of formation (eV per formula unit): -2.406
Crystal system: cubic


Ρ in g cm⁻³, matching the order above: 6.259 10.857 10.173 11.759